! PBE Al2ZnCd, relaxed; values from VASP
&SYSTEM
  ibrav = 0, nat = 4, ntyp = 3
/
ATOMIC_SPECIES
Al 26.98 Al.upf
Zn 65.41 Zn.upf
Cd 112.41 Cd.upf
ATOMIC_POSITIONS crystal
Al 0.500 0.275 0.226
Zn 0.500 0.729 0.770
Al 0.000 0.000 0.999
Cd 0.000 0.495 0.505
CELL_PARAMETERS angstrom
-2.168 -1.897 -2.941
1.959 -2.149 -0.058
-1.196 -5.065 4.148
! ΔH_f (0 K), meV per atom: 88
! Energy relative to the lowest polymorph listed for this composition, eV/atom: 0.032
! SG: No. 6

=====

! PBE MgTiAl3, relaxed; values from VASP
&SYSTEM
  ibrav = 0, nat = 5, ntyp = 3
/
ATOMIC_SPECIES
Ti 47.87 Ti.upf
Al 26.98 Al.upf
Mg 24.30 Mg.upf
ATOMIC_POSITIONS crystal
Ti 0.000 0.000 0.000
Al 0.500 0.000 0.000
Mg 0.500 0.500 0.500
Al 0.000 0.500 0.000
Al 0.000 0.000 0.500
CELL_PARAMETERS angstrom
4.965 0.000 0.000
0.000 4.965 0.000
0.000 0.000 4.965
! ΔH_f (0 K), meV per atom: 682
! Energy relative to the lowest polymorph listed for this composition, eV/atom: 0.000
! SG: No. 221

=====

! PBE ZrTl2Ag, relaxed; values from VASP
&SYSTEM
  ibrav = 0, nat = 4, ntyp = 3
/
ATOMIC_SPECIES
Tl 204.38 Tl.upf
Ag 107.87 Ag.upf
Zr 91.22 Zr.upf
ATOMIC_POSITIONS crystal
Tl 0.503 0.503 0.503
Tl 0.997 0.997 0.997
Ag 0.250 0.250 0.250
Zr 0.750 0.750 0.750
CELL_PARAMETERS angstrom
-2.504 -1.042 9.670
-0.156 -3.336 9.472
0.655 -0.196 10.020
! ΔH_f (0 K), meV per atom: 139
! Energy relative to the lowest polymorph listed for this composition, eV/atom: 0.128
! SG: No. 166

=====

! PBE BaAlBi3, relaxed; values from VASP
&SYSTEM
  ibrav = 0, nat = 5, ntyp = 3
/
ATOMIC_SPECIES
Bi 208.98 Bi.upf
Ba 137.33 Ba.upf
Al 26.98 Al.upf
ATOMIC_POSITIONS crystal
Bi 0.000 0.500 0.000
Bi 0.000 0.000 0.500
Ba 0.000 0.000 0.000
Al 0.500 0.500 0.500
Bi 0.500 0.000 0.000
CELL_PARAMETERS angstrom
6.376 0.000 0.000
0.000 6.376 0.000
0.000 0.000 6.376
! ΔH_f (0 K), meV per atom: 962
! Energy relative to the lowest polymorph listed for this composition, eV/atom: 1.235
! SG: No. 221

=====

! PBE Er2GaPbO6, relaxed; values from VASP
&SYSTEM
  ibrav = 0, nat = 10, ntyp = 4
/
ATOMIC_SPECIES
O 16.00 O.upf
Er 167.26 Er.upf
Pb 207.20 Pb.upf
Ga 69.72 Ga.upf
ATOMIC_POSITIONS crystal
O 0.750 0.238 0.238
Er 0.976 0.000 0.500
O 0.750 0.238 0.762
O 0.242 0.000 0.000
O 0.127 0.500 0.500
Er 0.976 0.500 0.000
Pb 0.539 0.500 0.500
O 0.750 0.762 0.762
O 0.750 0.762 0.238
Ga 0.588 0.000 0.000
CELL_PARAMETERS angstrom
5.367 0.000 0.000
0.000 5.281 0.000
0.000 0.000 5.281
! SG: No. 99

=====

! PBE MnNbGeHI, relaxed; values from VASP
&SYSTEM
  ibrav = 0, nat = 5, ntyp = 5
/
ATOMIC_SPECIES
Nb 92.91 Nb.upf
Mn 54.94 Mn.upf
H 1.01 H.upf
I 126.90 I.upf
Ge 72.64 Ge.upf
ATOMIC_POSITIONS crystal
Nb 0.885 0.196 0.144
Mn 0.325 0.487 0.974
H 0.254 0.376 0.226
I 0.468 0.654 0.520
Ge 0.666 0.849 0.928
CELL_PARAMETERS angstrom
-1.238 -3.742 -0.965
0.943 -1.548 -3.738
4.822 -4.170 1.444
! Energy relative to the lowest polymorph listed for this composition, eV/atom: 0.009
! SG: No. 8

=====

! PBE Rb2TlTe2, relaxed; values from VASP
&SYSTEM
  ibrav = 0, nat = 10, ntyp = 3
/
ATOMIC_SPECIES
Rb 85.47 Rb.upf
Te 127.60 Te.upf
Tl 204.38 Tl.upf
ATOMIC_POSITIONS crystal
Rb 0.639 0.964 0.278
Rb 0.139 0.314 0.278
Rb 0.361 0.036 0.722
Rb 0.861 0.686 0.722
Te 0.884 0.167 0.768
Te 0.616 0.398 0.232
Tl 0.750 0.500 0.000
Te 0.116 0.833 0.232
Tl 0.250 0.500 0.000
Te 0.384 0.602 0.768
CELL_PARAMETERS angstrom
7.540 0.000 0.000
0.000 8.143 0.000
-3.770 -4.071 7.505
! Energy relative to the lowest polymorph listed for this composition, eV/atom: 0.022
! SG: No. 72

=====

! PBE Rb2CuTcCl6, relaxed; values from VASP
&SYSTEM
  ibrav = 0, nat = 10, ntyp = 4
/
ATOMIC_SPECIES
Cl 35.45 Cl.upf
Rb 85.47 Rb.upf
Cu 63.55 Cu.upf
Tc 98.00 Tc.upf
ATOMIC_POSITIONS crystal
Cl 0.774 0.226 0.000
Cl 0.226 0.226 0.000
Cl 0.226 0.774 0.000
Cl 0.736 0.736 0.529
Rb 0.250 0.750 0.500
Cu 0.500 0.500 0.000
Cl 0.774 0.774 0.000
Rb 0.750 0.250 0.500
Cl 0.264 0.264 0.471
Tc 0.000 0.000 0.000
CELL_PARAMETERS angstrom
-6.511 -0.576 -3.813
3.400 -4.388 -5.144
-2.649 -6.170 -2.054
! SG: No. 139

=====

! PBE TlCuCl3, relaxed; values from VASP
&SYSTEM
  ibrav = 0, nat = 10, ntyp = 3
/
ATOMIC_SPECIES
Cl 35.45 Cl.upf
Tl 204.38 Tl.upf
Cu 63.55 Cu.upf
ATOMIC_POSITIONS crystal
Cl 0.000 0.699 0.742
Cl 0.699 0.699 0.258
Tl 0.667 0.333 0.500
Cl 0.301 0.000 0.258
Tl 0.333 0.667 0.500
Cu 0.000 0.000 0.738
Cl 0.000 0.301 0.258
Cu 0.000 0.000 0.262
Cl 0.699 0.000 0.742
Cl 0.301 0.301 0.742
CELL_PARAMETERS angstrom
7.268 0.000 0.000
-3.634 6.294 0.000
0.000 0.000 6.869
! SG: No. 162

=====

! PBE CeAl12Pd4, relaxed; values from VASP
&SYSTEM
  ibrav = 0, nat = 17, ntyp = 3
/
ATOMIC_SPECIES
Al 26.98 Al.upf
Pd 106.42 Pd.upf
Ce 140.12 Ce.upf
ATOMIC_POSITIONS crystal
Al 0.185 0.843 0.343
Al 0.343 0.500 0.157
Pd 0.500 0.000 0.000
Al 0.157 0.657 0.815
Al 0.815 0.157 0.657
Al 0.657 0.500 0.843
Al 0.657 0.815 0.157
Al 0.843 0.343 0.185
Ce 0.000 0.000 0.000
Pd 0.000 0.000 0.500
Al 0.500 0.157 0.343
Al 0.500 0.843 0.657
Al 0.843 0.657 0.500
Pd 0.000 0.500 0.000
Pd 0.500 0.500 0.500
Al 0.157 0.343 0.500
Al 0.343 0.185 0.843
CELL_PARAMETERS angstrom
-3.520 3.539 5.724
3.755 -6.032 2.680
4.901 4.773 -3.296
! ΔH_f (0 K), meV per atom: -199
! SG: No. 204

=====

! PBE SrPb2W, relaxed; values from VASP
&SYSTEM
  ibrav = 0, nat = 4, ntyp = 3
/
ATOMIC_SPECIES
Sr 87.62 Sr.upf
Pb 207.20 Pb.upf
W 183.84 W.upf
ATOMIC_POSITIONS crystal
Sr 0.000 0.000 0.528
Pb 0.000 0.000 0.959
W 0.500 0.500 0.755
Pb 0.500 0.500 0.258
CELL_PARAMETERS angstrom
-1.085 1.466 2.567
1.161 -2.303 1.806
9.536 5.505 0.886
! ΔH_f (0 K), meV per atom: 752
! Energy relative to the lowest polymorph listed for this composition, eV/atom: 0.302
! SG: No. 99

=====

! PBE HfPaAlZn, relaxed; values from VASP
&SYSTEM
  ibrav = 0, nat = 4, ntyp = 4
/
ATOMIC_SPECIES
Zn 65.41 Zn.upf
Pa 231.04 Pa.upf
Hf 178.49 Hf.upf
Al 26.98 Al.upf
ATOMIC_POSITIONS crystal
Zn 0.750 0.750 0.750
Pa 0.500 0.500 0.500
Hf 0.000 0.000 0.000
Al 0.250 0.250 0.250
CELL_PARAMETERS angstrom
4.886 0.000 0.000
2.443 4.231 0.000
2.443 1.410 3.989
! ΔH_f (0 K), meV per atom: -32
! SG: No. 216

=====

| no. | E_tot (eV per atom) | Fermi-level density of states (states/eV/atom) |
| --- | --- | --- |
| 1 | -2.33 | 0.33 |
| 2 | -3.46 | 0.56 |
| 3 | -3.89 | 0.67 |
| 4 | -2.50 | 0.77 |
| 5 | -6.78 | 0.26 |
| 6 | -5.75 | 0.20 |
| 7 | -2.82 | 0.66 |
| 8 | -3.82 | 0.88 |
| 9 | -3.04 | 0.89 |
| 10 | -4.41 | 1.05 |
| 11 | -4.76 | 0.64 |
| 12 | -6.15 | 1.44 |